Computed, not measured: crystalline Np2Ge2Os at its relaxed geometry at the PBE level of DFT.

Cell lengths 4.359, 5.689, 9.158 Å; angles 84.70, 76.23, 67.47 degrees
Last column: magnetic moment on the atom in μB.
Positions (direct):
Np (0.678, 0.326, 0.317)  3.57
Np (0.904, 0.283, 0.908)  3.98
Np (0.322, 0.674, 0.683)  3.57
Np (0.096, 0.717, 0.092)  3.98
Ge (0.067, 0.288, 0.578)  -0.02
Ge (0.629, 0.868, 0.874)  -0.07
Ge (0.933, 0.712, 0.422)  -0.02
Ge (0.371, 0.132, 0.126)  -0.07
Os (0.657, 0.072, 0.615)  -0.27
Os (0.343, 0.928, 0.385)  -0.27

Calculated values
Space group: C2/m, No. 12
Calculated total energy: -9.37 eV per atom
ΔE_f: -98 meV/atom